! NdPaRe4 | the Alexandria database | PBE-GGA | relaxed; values from VASP
! Spin magnetization: 0.0 μB/cell
! SG: F-43m (216)
! Formation energy from the elements: 13 meV per atom
&SYSTEM
  ibrav = 0, nat = 6, ntyp = 3
/
ATOMIC_SPECIES
Nd 144.24 Nd.upf
Re 186.21 Re.upf
Pa 231.04 Pa.upf
ATOMIC_POSITIONS angstrom
Nd 2.735 1.579 1.117
Re 4.103 3.948 2.791
Re 5.470 3.158 0.559
Re 5.470 1.579 2.791
Re 6.837 3.948 2.791
Pa 0.000 0.000 0.000
CELL_PARAMETERS angstrom
5.470 0.000 0.000
2.735 4.737 0.000
2.735 1.579 4.466

! NdPa2Re | the Alexandria database | PBE-GGA | relaxed; values from VASP
! Spin magnetization: 0.0 μB/cell
! SG: P4/mmm (123)
! Formation energy from the elements: 147 meV per atom
! Relative energy among the computed polymorphs: 0 meV per atom
&SYSTEM
  ibrav = 0, nat = 4, ntyp = 3
/
ATOMIC_SPECIES
Pa 231.04 Pa.upf
Re 186.21 Re.upf
Nd 144.24 Nd.upf
ATOMIC_POSITIONS angstrom
Pa 0.000 0.000 7.153
Pa 0.000 0.000 1.791
Re 1.672 1.672 0.000
Nd 1.672 1.672 4.472
CELL_PARAMETERS angstrom
3.343 0.000 0.000
0.000 3.343 0.000
0.000 0.000 8.943

! NdPaRh3 | the Alexandria database | PBE-GGA | relaxed; values from VASP
! Spin magnetization: 0.0 μB/cell
! SG: P2_1/m (11)
! Formation energy from the elements: -720 meV per atom
! Relative energy among the computed polymorphs: 0 meV per atom
&SYSTEM
  ibrav = 0, nat = 10, ntyp = 3
/
ATOMIC_SPECIES
Pa 231.04 Pa.upf
Rh 102.91 Rh.upf
Nd 144.24 Nd.upf
ATOMIC_POSITIONS angstrom
Pa 3.528 1.382 2.772
Pa 1.583 4.146 8.636
Rh 2.765 1.382 5.059
Rh 1.465 1.382 8.999
Rh 2.346 4.146 6.349
Rh 2.002 0.000 0.663
Rh 2.002 2.764 0.663
Rh 3.646 4.146 2.409
Nd 4.114 1.382 7.699
Nd 0.997 4.146 3.709
CELL_PARAMETERS angstrom
4.005 0.000 1.326
0.000 5.528 0.000
1.106 0.000 10.082

! NdPaRh2 | the Alexandria database | PBE-GGA | relaxed; values from VASP
! Spin magnetization: 0.0 μB/cell
! SG: R3m (160)
! Formation energy from the elements: -677 meV per atom
&SYSTEM
  ibrav = 0, nat = 4, ntyp = 3
/
ATOMIC_SPECIES
Rh 102.91 Rh.upf
Pa 231.04 Pa.upf
Nd 144.24 Nd.upf
ATOMIC_POSITIONS angstrom
Rh -2.312 4.868 2.818
Rh -1.737 2.108 -0.127
Pa -5.562 8.009 1.417
Nd -3.549 4.576 0.131
CELL_PARAMETERS angstrom
-0.878 2.659 -2.664
-3.664 0.455 -1.142
-2.539 5.956 3.979

! NdPaRh2 | the Alexandria database | PBE-GGA | relaxed; values from VASP
! Spin magnetization: 0.0 μB/cell
! SG: P4/mmm (123)
! Formation energy from the elements: -706 meV per atom
&SYSTEM
  ibrav = 0, nat = 4, ntyp = 3
/
ATOMIC_SPECIES
Nd 144.24 Nd.upf
Rh 102.91 Rh.upf
Pa 231.04 Pa.upf
ATOMIC_POSITIONS angstrom
Nd 1.743 1.743 0.000
Rh 0.000 0.000 5.066
Rh 0.000 0.000 2.117
Pa 1.743 1.743 3.592
CELL_PARAMETERS angstrom
3.486 0.000 0.000
0.000 3.486 0.000
0.000 0.000 7.184

! NdPaRh | the Alexandria database | PBE-GGA | relaxed; values from VASP
! Spin magnetization: 0.0 μB/cell
! SG: P-6m2 (187)
! Formation energy from the elements: -184 meV per atom
! Relative energy among the computed polymorphs: 259 meV per atom
&SYSTEM
  ibrav = 0, nat = 3, ntyp = 3
/
ATOMIC_SPECIES
Nd 144.24 Nd.upf
Pa 231.04 Pa.upf
Rh 102.91 Rh.upf
ATOMIC_POSITIONS angstrom
Nd 3.021 2.256 1.303
Pa 0.755 0.000 2.605
Rh 0.755 0.000 0.000
CELL_PARAMETERS angstrom
4.532 0.000 0.000
0.000 4.512 0.000
0.000 -2.256 3.908

! NdPaRh3 | the Alexandria database | PBE-GGA | relaxed; values from VASP
! Spin magnetization: 0.0 μB/cell
! SG: Cm (8)
! Formation energy from the elements: -566 meV per atom
! Relative energy among the computed polymorphs: 155 meV per atom
&SYSTEM
  ibrav = 0, nat = 10, ntyp = 3
/
ATOMIC_SPECIES
Rh 102.91 Rh.upf
Nd 144.24 Nd.upf
Pa 231.04 Pa.upf
ATOMIC_POSITIONS angstrom
Rh -4.881 2.005 -0.372
Rh -9.452 3.698 0.943
Rh -6.969 2.688 -2.283
Rh -7.507 3.061 2.725
Rh -9.505 1.106 -2.355
Rh -9.808 1.625 2.659
Nd -11.613 1.622 0.135
Nd -7.650 0.850 0.024
Pa -5.083 2.216 2.210
Pa -4.607 1.699 -2.981
CELL_PARAMETERS angstrom
-4.231 1.383 -3.876
-5.005 -3.124 -0.144
-6.255 4.258 3.835

! NdPaRh | the Alexandria database | PBE-GGA | relaxed; values from VASP
! Spin magnetization: 0.0 μB/cell
! SG: I4mm (107)
! Formation energy from the elements: -436 meV per atom
! Relative energy among the computed polymorphs: 7 meV per atom
&SYSTEM
  ibrav = 0, nat = 3, ntyp = 3
/
ATOMIC_SPECIES
Pa 231.04 Pa.upf
Rh 102.91 Rh.upf
Nd 144.24 Nd.upf
ATOMIC_POSITIONS angstrom
Pa -1.641 2.176 2.026
Rh -0.747 -0.096 3.339
Nd -2.382 2.073 5.359
CELL_PARAMETERS angstrom
-1.838 -2.732 1.447
2.557 -0.398 2.498
-3.105 5.206 1.418

! NdPaRh4 | the Alexandria database | PBE-GGA | relaxed; values from VASP
! Spin magnetization: 0.0 μB/cell
! SG: C2/m (12)
! Formation energy from the elements: -548 meV per atom
! Relative energy among the computed polymorphs: 85 meV per atom
&SYSTEM
  ibrav = 0, nat = 12, ntyp = 3
/
ATOMIC_SPECIES
Rh 102.91 Rh.upf
Nd 144.24 Nd.upf
Pa 231.04 Pa.upf
ATOMIC_POSITIONS angstrom
Rh 2.435 1.375 1.322
Rh 2.435 4.986 1.322
Rh 0.821 -1.805 5.313
Rh 0.821 1.805 5.313
Rh 2.501 0.000 3.902
Rh 0.000 1.304 0.000
Rh 0.000 5.057 0.000
Rh 0.756 3.180 2.733
Nd 3.388 3.180 3.920
Nd -0.131 0.000 2.716
Pa -0.769 0.000 5.967
Pa 4.025 3.180 0.668
CELL_PARAMETERS angstrom
5.333 0.000 -0.512
0.000 6.361 0.000
-2.077 -3.180 7.148

! Nd3PaRh4 | the Alexandria database | PBE-GGA | relaxed; values from VASP
! Spin magnetization: 0.0 μB/cell
! SG: P2/c (13)
! Formation energy from the elements: -692 meV per atom
&SYSTEM
  ibrav = 0, nat = 16, ntyp = 3
/
ATOMIC_SPECIES
Pa 231.04 Pa.upf
Nd 144.24 Nd.upf
Rh 102.91 Rh.upf
ATOMIC_POSITIONS angstrom
Pa 1.017 8.435 5.495
Pa -0.433 1.421 1.749
Nd -1.224 4.398 5.255
Nd 0.095 0.961 5.323
Nd 5.413 6.140 2.303
Nd 1.808 5.459 1.989
Nd 3.160 2.082 2.061
Nd 2.348 5.019 5.565
Rh 2.565 -0.465 3.938
Rh 7.999 4.923 0.930
Rh 0.014 6.483 6.880
Rh 2.943 7.565 3.688
Rh 4.890 3.931 4.273
Rh 0.618 3.169 3.354
Rh -2.491 2.178 6.696
Rh 5.494 0.618 0.747
CELL_PARAMETERS angstrom
-3.906 1.766 6.762
4.924 -2.756 0.382
4.491 8.091 0.482

! Nd2Pa2Rh5 | the Alexandria database | PBE-GGA | relaxed; values from VASP
! Spin magnetization: 0.0 μB/cell
! SG: Cmce (64)
! Formation energy from the elements: -672 meV per atom
&SYSTEM
  ibrav = 0, nat = 18, ntyp = 3
/
ATOMIC_SPECIES
Rh 102.91 Rh.upf
Pa 231.04 Pa.upf
Nd 144.24 Nd.upf
ATOMIC_POSITIONS angstrom
Rh 2.126 -2.849 -3.984
Rh 2.902 -0.914 -1.310
Rh 0.000 0.000 0.000
Rh 5.234 -3.723 -3.244
Rh 0.490 -3.111 -1.026
Rh 2.822 -5.921 -2.959
Rh 3.761 -2.586 -6.943
Rh 1.430 0.223 -5.010
Rh -0.983 -1.974 -4.725
Rh 1.349 -4.784 -6.659
Pa 1.051 -1.989 -6.453
Pa 3.686 -4.740 -5.370
Pa 0.565 -0.957 -2.599
Pa 3.200 -3.708 -1.515
Nd -0.630 -5.633 0.172
Nd 4.258 -0.905 -4.236
Nd 5.642 0.082 -0.568
Nd -0.007 -4.792 -3.733
CELL_PARAMETERS angstrom
-0.761 -0.146 -7.572
7.775 2.025 -0.820
-2.763 -7.577 0.423

! Nd3PaRh3 | the Alexandria database | PBE-GGA | relaxed; values from VASP
! Spin magnetization: 0.0 μB/cell
! SG: Pnma (62)
! Formation energy from the elements: -582 meV per atom
&SYSTEM
  ibrav = 0, nat = 28, ntyp = 3
/
ATOMIC_SPECIES
Nd 144.24 Nd.upf
Rh 102.91 Rh.upf
Pa 231.04 Pa.upf
ATOMIC_POSITIONS angstrom
Nd 9.543 -1.255 5.325
Nd 1.042 5.505 2.038
Nd 10.099 6.585 8.453
Nd 8.276 9.851 7.897
Nd 2.864 2.239 2.594
Nd 8.815 2.977 5.343
Nd 6.869 5.909 6.938
Nd 4.644 11.817 6.417
Nd 2.326 9.113 5.148
Nd 1.597 13.346 5.166
Nd 4.272 6.182 3.553
Nd 6.496 0.273 4.074
Rh 8.839 7.845 5.752
Rh 4.691 7.685 6.100
Rh 9.867 3.617 8.105
Rh 1.274 8.473 2.386
Rh 3.744 0.809 5.110
Rh 7.892 0.645 6.970
Rh 0.317 1.478 1.382
Rh 2.302 4.245 4.739
Rh 7.396 11.281 5.382
Rh 6.450 4.405 4.391
Rh 3.249 11.446 3.522
Rh 10.823 10.613 9.110
Pa 10.237 1.152 8.071
Pa 0.903 10.938 2.421
Pa 6.629 8.971 4.846
Pa 4.512 3.120 5.645
CELL_PARAMETERS angstrom
-1.667 -0.302 3.691
11.647 -1.580 5.132
1.161 13.973 1.668

! NdPaRh | the Alexandria database | PBE-GGA | relaxed; values from VASP
! Spin magnetization: 0.0 μB/cell
! SG: Amm2 (38)
! Formation energy from the elements: -443 meV per atom
! Relative energy among the computed polymorphs: 0 meV per atom
&SYSTEM
  ibrav = 0, nat = 18, ntyp = 3
/
ATOMIC_SPECIES
Rh 102.91 Rh.upf
Pa 231.04 Pa.upf
Nd 144.24 Nd.upf
ATOMIC_POSITIONS angstrom
Rh 0.184 -6.608 -1.439
Rh 4.345 -6.176 1.080
Rh 3.511 -10.365 -1.295
Rh 2.786 -7.831 -5.873
Rh -0.691 -7.238 2.272
Rh 2.636 -10.995 2.416
Pa 4.396 -9.676 -3.780
Pa -3.528 -2.943 4.722
Pa 4.496 -9.394 1.227
Pa 1.070 -5.919 -3.925
Pa -0.200 -6.701 4.866
Pa 1.169 -5.637 1.082
Nd -0.727 -3.874 3.270
Nd 3.389 -7.122 -1.405
Nd 0.997 -9.175 0.285
Nd 4.323 -12.935 0.431
Nd 0.060 -3.365 -1.547
Nd 4.369 -13.044 -3.394
CELL_PARAMETERS angstrom
-3.652 -3.046 4.887
1.767 -5.414 -6.811
6.655 -7.516 0.289

! NdPaRh4 | the Alexandria database | PBE-GGA | relaxed; values from VASP
! Spin magnetization: 0.0 μB/cell
! SG: F-43m (216)
! Formation energy from the elements: -633 meV per atom
! Relative energy among the computed polymorphs: 0 meV per atom
&SYSTEM
  ibrav = 0, nat = 6, ntyp = 3
/
ATOMIC_SPECIES
Rh 102.91 Rh.upf
Pa 231.04 Pa.upf
Nd 144.24 Nd.upf
ATOMIC_POSITIONS angstrom
Rh 5.364 3.097 0.549
Rh 5.364 1.550 2.737
Rh 4.025 3.871 2.737
Rh 6.704 3.871 2.737
Pa 2.682 1.549 1.095
Nd 0.000 0.000 0.000
CELL_PARAMETERS angstrom
5.364 0.000 0.000
2.682 4.646 0.000
2.682 1.549 4.380

! Nd2PaRh | the Alexandria database | PBE-GGA | relaxed; values from VASP
! Spin magnetization: 0.0 μB/cell
! SG: R-3m (166)
! Formation energy from the elements: 158 meV per atom
&SYSTEM
  ibrav = 0, nat = 4, ntyp = 3
/
ATOMIC_SPECIES
Pa 231.04 Pa.upf
Rh 102.91 Rh.upf
Nd 144.24 Nd.upf
ATOMIC_POSITIONS angstrom
Pa 0.000 0.000 0.000
Rh 3.371 1.946 5.394
Nd 1.685 0.973 7.520
Nd 5.056 2.919 3.269
CELL_PARAMETERS angstrom
3.371 0.000 0.000
1.685 2.919 0.000
1.685 0.973 10.788

! NdPaRh2 | the Alexandria database | PBE-GGA | relaxed; values from VASP
! Spin magnetization: 0.4 μB/cell
! SG: Fm-3m (225)
! Formation energy from the elements: -554 meV per atom
&SYSTEM
  ibrav = 0, nat = 4, ntyp = 3
/
ATOMIC_SPECIES
Rh 102.91 Rh.upf
Nd 144.24 Nd.upf
Pa 231.04 Pa.upf
ATOMIC_POSITIONS angstrom
Rh 2.466 1.424 1.007
Rh 7.397 4.271 3.020
Nd 4.931 2.847 2.013
Pa 0.000 0.000 0.000
CELL_PARAMETERS angstrom
4.931 0.000 0.000
2.466 4.271 0.000
2.466 1.424 4.026

! Nd4PaRh4 | the Alexandria database | PBE-GGA | relaxed; values from VASP
! Spin magnetization: 0.0 μB/cell
! SG: C2/m (12)
! Formation energy from the elements: -660 meV per atom
&SYSTEM
  ibrav = 0, nat = 9, ntyp = 3
/
ATOMIC_SPECIES
Rh 102.91 Rh.upf
Nd 144.24 Nd.upf
Pa 231.04 Pa.upf
ATOMIC_POSITIONS angstrom
Rh -2.114 2.168 1.551
Rh -5.331 8.474 4.039
Rh -7.051 6.799 7.155
Rh -3.833 0.494 4.667
Nd -4.825 2.550 2.705
Nd -4.339 6.417 6.001
Nd -7.621 4.179 5.648
Nd -1.543 4.788 3.058
Pa -1.944 0.795 -0.646
CELL_PARAMETERS angstrom
-3.889 1.589 -1.292
-4.490 -0.022 6.010
-0.785 7.399 3.989

! Nd5PaRh4 | the Alexandria database | PBE-GGA | relaxed; values from VASP
! Spin magnetization: 0.0 μB/cell
! SG: C2/m (12)
! Formation energy from the elements: -601 meV per atom
&SYSTEM
  ibrav = 0, nat = 10, ntyp = 3
/
ATOMIC_SPECIES
Pa 231.04 Pa.upf
Rh 102.91 Rh.upf
Nd 144.24 Nd.upf
ATOMIC_POSITIONS angstrom
Pa -0.765 -0.894 -1.872
Rh -7.104 4.938 -2.066
Rh -5.438 3.880 0.370
Rh -1.298 -0.436 0.739
Rh -2.965 0.622 -1.697
Nd -0.894 2.510 -0.833
Nd -7.508 1.992 -0.495
Nd -3.717 -2.156 -0.064
Nd -3.918 1.327 0.968
Nd -4.484 3.174 -2.295
CELL_PARAMETERS angstrom
-1.531 -1.788 -3.745
-5.903 -2.523 3.618
-0.968 8.813 -1.200

! NdPaRhS4 | the Alexandria database | PBE-GGA | relaxed; values from VASP
! Spin magnetization: 0.0 μB/cell
! SG: P2_1/m (11)
! E_form (uncorrected): -1.3999 eV/atom
&SYSTEM
  ibrav = 0, nat = 14, ntyp = 4
/
ATOMIC_SPECIES
S 32.06 S.upf
Nd 144.24 Nd.upf
Pa 231.04 Pa.upf
Rh 102.91 Rh.upf
ATOMIC_POSITIONS angstrom
S 6.550 1.198 2.313
S 7.197 -3.858 0.600
S 2.853 0.364 3.159
S 6.449 -1.400 -0.244
S 1.968 -0.289 6.374
S 1.221 2.169 5.530
S 5.565 -2.053 2.971
S 1.868 -2.886 3.817
Nd 0.668 -0.730 1.909
Nd 7.750 -0.959 4.221
Pa 3.998 -1.776 5.164
Pa 4.420 0.088 0.966
Rh 3.651 -2.915 2.155
Rh 4.767 1.226 3.974
CELL_PARAMETERS angstrom
-0.703 1.903 6.164
1.596 -5.249 1.802
7.524 1.658 -1.837

! Nd2PaSb3Rh4 | the Alexandria database | PBE-GGA | relaxed; values from VASP
! Spin magnetization: 0.1 μB/cell
! SG: P-4m2 (115)
! E_form (uncorrected): -0.8191 eV/atom
&SYSTEM
  ibrav = 0, nat = 10, ntyp = 4
/
ATOMIC_SPECIES
Sb 121.76 Sb.upf
Nd 144.24 Nd.upf
Rh 102.91 Rh.upf
Pa 231.04 Pa.upf
ATOMIC_POSITIONS angstrom
Sb 0.000 2.229 1.492
Sb 0.000 0.000 5.659
Sb 2.229 0.000 9.827
Nd 0.000 2.229 8.860
Nd 2.229 0.000 2.458
Rh 2.229 0.000 7.219
Rh 0.000 0.000 0.000
Rh 2.229 2.229 0.000
Rh 0.000 2.229 4.100
Pa 2.229 2.229 5.659
CELL_PARAMETERS angstrom
4.459 0.000 0.000
0.000 4.459 0.000
0.000 0.000 11.319